1.
A plane-wave DFT calculation with SCAN was carried out for a PBEsol-optimized structure of As2OsSeF.

Results
Space group ... P4/mmm, No. 123
Final energy ... -130.68 eV for the cell shown
Calculated volume ... 81.8 Å³ per cell

```
5
Lattice="-3.742 -0.389 -1.914 0.747 -4.107 -0.626 -1.962 -0.972 4.036" Properties=species:S:1:pos:R:3 pbc="T T T"
Se -0.981 -0.486 2.018
Os -2.479 -2.734 0.748
As 0.374 -2.054 -0.313
As -1.871 -0.195 -0.957
F 0.000 0.000 0.000
```

2.
A plane-wave DFT calculation with SCAN was carried out for a PBEsol-optimized structure of Mn2ReCl.

Results
Energy relative to the lowest polymorph listed for this composition ... 0 meV/atom
Space group ... R-3m, No. 166
Calculated volume ... 57.6 Å³ per cell

```
4
Lattice="2.924 0.000 0.000 1.462 2.533 0.000 1.462 0.844 7.773" Properties=species:S:1:pos:R:3 pbc="T T T"
Mn 4.387 2.533 5.827
Mn 1.462 0.844 1.946
Re 0.000 0.000 0.000
Cl 2.924 1.688 3.886
```

3.
A plane-wave DFT calculation with SCAN was carried out for a PBEsol-optimized structure of InTeRu2.

Results
Energy relative to the lowest polymorph listed for this composition ... 476 meV/atom
Space group ... F-43m, No. 216
Calculated volume ... 69.8 Å³ per cell

```
4
Lattice="-0.929 2.999 3.393 -0.983 -1.544 4.245 3.027 0.609 3.440" Properties=species:S:1:pos:R:3 pbc="T T T"
In 0.557 1.032 5.539
Te 0.279 0.516 2.769
Ru 0.836 1.547 8.308
Ru 0.000 0.000 0.000
```

4.
A plane-wave DFT calculation with SCAN was carried out for a PBEsol-optimized structure of Tl2Ni.

Results
Formation energy ... 0.75 eV per atom
Space group ... P6/mmm, No. 191
Calculated volume ... 64.0 Å³ per cell

```
3
Lattice="2.946 0.000 0.000 0.000 5.009 0.000 0.000 -2.505 4.338" Properties=species:S:1:pos:R:3 pbc="T T T"
Ni 0.000 0.000 0.000
Tl 1.473 2.505 1.446
Tl 1.473 0.000 2.892
```

5.
A plane-wave DFT calculation with SCAN was carried out for a PBEsol-optimized structure of Os2W.

Results
Energy relative to the lowest polymorph listed for this composition ... 4 meV/atom
Formation energy ... 0.01 eV per atom
Space group ... Cm, No. 8
Calculated volume ... 87.0 Å³ per cell

```
6
Lattice="2.757 0.000 0.000 -1.379 5.010 -0.002 0.000 -1.595 6.296" Properties=species:S:1:pos:R:3 pbc="T T T"
Os 1.379 1.154 2.091
Os 0.000 2.282 4.182
Os 0.000 3.462 1.740
Os 1.379 4.990 0.014
W 0.000 -0.447 3.838
W 1.379 0.740 5.968
```

6.
A plane-wave DFT calculation with SCAN was carried out for a PBEsol-optimized structure of Zn2SiTe.

Results
Energy relative to the lowest polymorph listed for this composition ... 80 meV/atom
Space group ... P2/m, No. 10
Calculated volume ... 78.8 Å³ per cell

```
4
Lattice="-0.929 1.007 -3.413 -0.002 -4.018 -1.185 -4.949 1.245 1.714" Properties=species:S:1:pos:R:3 pbc="T T T"
Zn -3.546 -2.153 0.330
Zn -1.405 -0.619 0.200
Si -2.939 1.126 -0.849
Te -0.465 -1.505 -2.299
```

7.
A plane-wave DFT calculation with SCAN was carried out for a PBEsol-optimized structure of LiTi2Cd.

Results
Formation energy ... 0.40 eV per atom
Space group ... I-42d, No. 122
Calculated volume ... 136.7 Å³ per cell

```
8
Lattice="4.943 0.000 0.000 2.471 5.259 0.000 2.471 0.000 5.259" Properties=species:S:1:pos:R:3 pbc="T T T"
Ti 4.325 0.064 2.694
Ti 3.089 2.565 0.064
Ti 4.325 5.194 2.565
Ti 8.032 2.694 5.194
Cd 0.000 0.000 0.000
Cd 6.178 2.629 2.629
Li 3.707 2.629 2.629
Li 2.471 0.000 0.000
```

8.
A plane-wave DFT calculation with SCAN was carried out for a PBEsol-optimized structure of Be2ZnOs.

Results
Formation energy ... 0.03 eV per atom
Space group ... P4mm, No. 99
Calculated volume ... 44.2 Å³ per cell

```
4
Lattice="2.841 0.000 0.000 0.000 2.841 0.000 0.000 0.000 5.479" Properties=species:S:1:pos:R:3 pbc="T T T"
Be 0.000 0.000 0.170
Be 1.420 1.420 1.330
Os 0.000 0.000 2.495
Zn 1.420 1.420 4.223
```

9.
A plane-wave DFT calculation with SCAN was carried out for a PBEsol-optimized structure of KTlSb2C.

Results
Space group ... P4/mmm, No. 123
Final energy ... -155.68 eV for the cell shown
Calculated volume ... 169.6 Å³ per cell

```
5
Lattice="4.937 0.000 0.000 0.000 5.862 0.000 0.000 0.000 5.862" Properties=species:S:1:pos:R:3 pbc="T T T"
Sb 0.000 2.931 0.000
Sb 0.000 0.000 2.931
Tl 2.468 2.931 2.931
K 0.000 0.000 0.000
C 2.468 0.000 0.000
```

10.
A plane-wave DFT calculation with SCAN was carried out for a PBEsol-optimized structure of Fe3Co.

Results
Formation energy ... -0.12 eV per atom
Space group ... R-3m, No. 166
Calculated volume ... 43.8 Å³ per cell

```
4
Lattice="2.429 0.000 0.000 -0.810 4.564 0.000 -0.810 -2.282 3.952" Properties=species:S:1:pos:R:3 pbc="T T T"
Fe 0.810 2.282 0.000
Fe -0.810 1.141 1.976
Fe 0.810 -1.141 1.976
Co 0.000 0.000 0.000
```

11.
A plane-wave DFT calculation with SCAN was carried out for a PBEsol-optimized structure of MnMoAu2.

Results
Energy relative to the lowest polymorph listed for this composition ... 0 meV/atom
Formation energy ... -0.01 eV per atom
Space group ... Pmmm, No. 47
Calculated volume ... 61.9 Å³ per cell

```
4
Lattice="-2.314 1.084 0.991 -2.021 -1.380 -3.207 -1.068 -4.771 2.725" Properties=species:S:1:pos:R:3 pbc="T T T"
Au -0.266 -1.189 0.679
Au -0.802 -3.583 2.046
Mo -2.701 -2.534 0.255
Mn -2.167 -0.148 -1.108
```

12.
A plane-wave DFT calculation with SCAN was carried out for a PBEsol-optimized structure of YBe2Sb.

Results
Space group ... Pmm2, No. 25
Final energy ... -73.29 eV for the cell shown
Calculated volume ... 70.8 Å³ per cell

```
4
Lattice="-1.454 2.756 0.123 -0.982 -0.664 3.287 5.452 2.778 2.191" Properties=species:S:1:pos:R:3 pbc="T T T"
Be -0.091 1.620 2.157
Be 0.388 0.198 0.156
Y 3.009 3.200 3.403
Sb 2.437 1.242 0.979
```

13.
A plane-wave DFT calculation with SCAN was carried out for a PBEsol-optimized structure of Rb2CoF4.

Results
Space group ... I4/mmm, No. 139
Final energy ... -91.25 eV for the cell shown
Calculated volume ... 113.7 Å³ per cell

```
7
Lattice="4.080 0.000 0.000 0.000 4.080 0.000 -2.040 -2.040 6.829" Properties=species:S:1:pos:R:3 pbc="T T T"
Rb 0.000 0.000 4.835
Rb 2.040 2.040 1.994
Co 0.000 0.000 0.000
F 0.000 0.000 2.026
F 0.000 2.040 0.000
F 2.040 0.000 0.000
F 2.040 2.040 4.804
```

14.
A plane-wave DFT calculation with SCAN was carried out for a PBEsol-optimized structure of ZrHPb3.

Results
Space group ... Pm-3m, No. 221
Final energy ... -260.40 eV for the cell shown
Calculated volume ... 107.2 Å³ per cell

```
5
Lattice="4.751 0.000 0.000 0.000 4.751 0.000 0.000 0.000 4.751" Properties=species:S:1:pos:R:3 pbc="T T T"
Pb 0.000 2.375 0.000
Pb 0.000 0.000 2.375
Pb 2.375 0.000 0.000
H 0.000 0.000 0.000
Zr 2.375 2.375 2.375
```

15.
A plane-wave DFT calculation with SCAN was carried out for a PBEsol-optimized structure of Be2PtCl.

Results
Energy relative to the lowest polymorph listed for this composition ... 0 meV/atom
Space group ... Pm, No. 6
Calculated volume ... 65.6 Å³ per cell

```
4
Lattice="-0.310 -2.628 -1.180 3.125 -0.831 1.030 -2.748 -2.221 5.667" Properties=species:S:1:pos:R:3 pbc="T T T"
Cl 0.662 -1.900 4.057
Be 0.006 -3.681 4.639
Be 2.142 -0.847 1.323
Pt 0.571 -1.609 -0.123
```

16.
A plane-wave DFT calculation with SCAN was carried out for a PBEsol-optimized structure of IrOs2Pb.

Results
Formation energy ... 0.90 eV per atom
Space group ... Imm2, No. 44
Calculated volume ... 69.2 Å³ per cell

```
4
Lattice="-0.366 -2.780 0.349 1.838 0.251 3.930 -5.794 2.220 0.165" Properties=species:S:1:pos:R:3 pbc="T T T"
Os -2.413 -0.969 1.190
Os -0.370 0.070 0.169
Pb -4.631 0.875 2.109
Ir -1.967 0.670 3.280
```

17.
A plane-wave DFT calculation with SCAN was carried out for a PBEsol-optimized structure of ZnRe2Pt.

Results
Formation energy ... 0.04 eV per atom
Space group ... I4/mmm, No. 139
Calculated volume ... 57.2 Å³ per cell

```
4
Lattice="-3.681 0.546 -0.103 -0.555 -3.644 0.521 2.091 2.137 3.872" Properties=species:S:1:pos:R:3 pbc="T T T"
Re -1.854 0.567 1.989
Re -0.291 -1.528 2.301
Zn 0.000 0.000 0.000
Pt -2.118 -1.549 0.209
```

18.
A plane-wave DFT calculation with SCAN was carried out for a PBEsol-optimized structure of Y2MnRe.

Results
Energy relative to the lowest polymorph listed for this composition ... 0 meV/atom
Formation energy ... 0.25 eV per atom
Space group ... Pm, No. 6
Calculated volume ... 84.9 Å³ per cell

```
4
Lattice="-0.613 -2.891 -1.341 1.254 -1.783 3.271 -5.909 1.439 3.048" Properties=species:S:1:pos:R:3 pbc="T T T"
Y -6.069 -1.313 1.610
Y -1.637 -2.164 1.809
Mn -3.327 0.441 1.515
Re -3.714 -0.932 3.277
```

19.
A plane-wave DFT calculation with SCAN was carried out for a PBEsol-optimized structure of Ti3FeCu.

Results
Formation energy ... 0.85 eV per atom
Space group ... Pm-3m, No. 221
Calculated volume ... 90.7 Å³ per cell

```
5
Lattice="4.493 0.000 0.000 0.000 4.493 0.000 0.000 0.000 4.493" Properties=species:S:1:pos:R:3 pbc="T T T"
Fe 2.247 2.247 2.247
Ti 2.247 0.000 0.000
Ti 0.000 0.000 2.247
Ti 0.000 2.247 0.000
Cu 0.000 0.000 0.000
```

20.
A plane-wave DFT calculation with SCAN was carried out for a PBEsol-optimized structure of NiAgF2.

Results
Space group ... R-3m, No. 166
Final energy ... -60.43 eV for the cell shown
Calculated volume ... 57.4 Å³ per cell

```
4
Lattice="2.914 0.000 0.000 1.457 2.524 0.000 1.457 0.841 7.812" Properties=species:S:1:pos:R:3 pbc="T T T"
F 1.457 0.841 4.983
F 4.371 2.524 2.830
Ag 0.000 0.000 0.000
Ni 2.914 1.682 3.906
```

21.
A plane-wave DFT calculation with SCAN was carried out for a PBEsol-optimized structure of La2BeCl.

Results
Space group ... Imm2, No. 44
Final energy ... -101.09 eV for the cell shown
Calculated volume ... 101.8 Å³ per cell

```
4
Lattice="-2.405 1.996 1.962 -2.731 -2.203 -1.107 3.735 -4.326 5.511" Properties=species:S:1:pos:R:3 pbc="T T T"
Cl -0.675 -3.723 2.960
La -1.500 -4.158 5.862
La -0.736 -0.772 3.353
Be -2.459 -0.518 0.983
```

22.
A plane-wave DFT calculation with SCAN was carried out for a PBEsol-optimized structure of PrCdIn.

Results
Formation energy ... -0.61 eV per atom
Space group ... P-3m1, No. 164
Calculated volume ... 156.7 Å³ per cell

```
6
Lattice="-2.872 3.601 1.566 -0.651 -1.874 -4.442 -4.870 -5.137 2.881" Properties=species:S:1:pos:R:3 pbc="T T T"
Pr -1.272 -1.342 0.752
Pr -3.598 -3.796 2.129
Cd -3.706 -2.490 -1.071
Cd -4.688 -0.920 1.075
In -1.636 -0.307 -2.295
In -6.758 -3.103 2.300
```

23.
A plane-wave DFT calculation with SCAN was carried out for a PBEsol-optimized structure of ReRh7.

Results
Energy relative to the lowest polymorph listed for this composition ... 46 meV/atom
Formation energy ... -0.02 eV per atom
Space group ... Fm-3m, No. 225
Calculated volume ... 108.4 Å³ per cell

```
8
Lattice="5.352 0.000 0.000 2.676 4.635 0.000 2.676 1.545 4.370" Properties=species:S:1:pos:R:3 pbc="T T T"
Re 0.000 0.000 0.000
Rh 2.676 3.090 2.185
Rh 4.014 2.317 0.000
Rh 1.338 0.772 2.185
Rh 4.014 0.772 2.185
Rh 5.352 3.090 2.185
Rh 1.338 2.317 0.000
Rh 2.676 0.000 0.000
```

24.
A plane-wave DFT calculation with SCAN was carried out for a PBEsol-optimized structure of LaHRh3.

Results
Energy relative to the lowest polymorph listed for this composition ... 2106 meV/atom
Space group ... Pm-3m, No. 221
Calculated volume ... 111.0 Å³ per cell

```
5
Lattice="-0.687 2.478 -4.060 -2.814 -3.519 -1.672 -3.835 2.139 1.954" Properties=species:S:1:pos:R:3 pbc="T T T"
Rh -0.343 1.239 -2.030
Rh -1.407 -1.759 -0.836
Rh -1.917 1.069 0.977
La 0.000 0.000 0.000
H -3.668 0.549 -1.889
```

25.
A plane-wave DFT calculation with SCAN was carried out for a PBEsol-optimized structure of Li2Ni.

Results
Formation energy ... 0.10 eV per atom
Space group ... I4/mmm, No. 139
Calculated volume ... 38.6 Å³ per cell

```
3
Lattice="2.509 0.000 0.000 0.000 2.509 0.000 -1.255 -1.255 6.132" Properties=species:S:1:pos:R:3 pbc="T T T"
Ni 0.000 0.000 0.000
Li 1.255 1.255 1.794
Li 0.000 0.000 4.339
```

26.
A plane-wave DFT calculation with SCAN was carried out for a PBEsol-optimized structure of CsHg2Pb2.

Results
Formation energy ... -0.22 eV per atom
Space group ... I4/mmm, No. 139
Calculated volume ... 165.4 Å³ per cell

```
5
Lattice="5.270 0.000 0.000 0.000 5.270 0.000 -2.635 -2.635 5.956" Properties=species:S:1:pos:R:3 pbc="T T T"
Pb 0.000 0.000 4.425
Pb 2.635 2.635 1.530
Cs 0.000 0.000 0.000
Hg 0.000 2.635 2.978
Hg 2.635 0.000 2.978
```

27.
A plane-wave DFT calculation with SCAN was carried out for a PBEsol-optimized structure of LaCdSbI2.

Results
Space group ... P4/mmm, No. 123
Final energy ... -185.72 eV for the cell shown
Calculated volume ... 174.6 Å³ per cell

```
5
Lattice="-2.092 -2.427 4.529 1.311 -4.981 -2.063 5.080 0.299 2.507" Properties=species:S:1:pos:R:3 pbc="T T T"
La 2.150 -3.554 2.486
I 0.656 -2.490 -1.032
I -1.046 -1.214 2.265
Sb 2.540 0.150 1.253
Cd 0.000 0.000 0.000
```

28.
A plane-wave DFT calculation with SCAN was carried out for a PBEsol-optimized structure of InPb2.

Results
Formation energy ... 0.06 eV per atom
Space group ... P-62m, No. 189
Calculated volume ... 254.2 Å³ per cell

```
9
Lattice="-2.478 2.088 -0.813 1.475 -1.784 -9.083 -6.031 -5.253 4.889" Properties=species:S:1:pos:R:3 pbc="T T T"
Pb 0.449 -0.543 -2.765
Pb -5.071 -2.293 2.700
Pb -2.900 -1.522 -1.936
Pb -3.169 -4.895 -2.918
Pb -0.301 -0.089 -6.178
Pb -1.836 -1.599 1.488
In -1.027 -2.940 -4.426
In -1.239 1.044 -0.406
In -3.529 -4.096 0.231
```

29.
A plane-wave DFT calculation with SCAN was carried out for a PBEsol-optimized structure of CrOs2Pt.

Results
Formation energy ... 0.45 eV per atom
Space group ... Fm-3m, No. 225
Calculated volume ... 55.3 Å³ per cell

```
4
Lattice="-1.311 -3.125 -2.610 2.864 -2.296 -2.195 0.709 -4.089 1.035" Properties=species:S:1:pos:R:3 pbc="T T T"
Cr 0.000 0.000 0.000
Os 1.697 -7.132 -2.827
Os 0.566 -2.377 -0.942
Pt 1.131 -4.755 -1.885
```